[1]
# CaLaGa

Crystalline CaLaGa at its relaxed geometry (PBE, the Alexandria database).

Properties
calculated density: 4.37 Mg/m³
DFT formation energy: -0.331 eV/atom
energy above the most stable polymorph in this dataset: 113 meV per atom
D(E_F): 2.0 states/eV/f.u.
VASP energy: -3.650 eV/atom

Unit cell a=19.411 b=4.977 c=4.002 alpha=90.00 beta=101.78 gamma=90.00
Space group Cm (No. 8)
Symmetry-distinct sites (fractional):
Ca: 0.000 0.000 0.000 [2 per cell]
Ca: 0.101 0.500 0.599 [2 per cell]
La: 0.222 0.000 0.218 [2 per cell]
La: 0.376 0.000 0.869 [2 per cell]
Ga: 0.266 0.500 0.761 [2 per cell]
Ga: 0.359 0.500 0.353 [2 per cell]

[2]
# BaLiZnAg

Crystalline BaLiZnAg at its relaxed geometry (PBE, the Alexandria database).

Properties
calculated density: 4.69 Mg/m³
DFT formation energy: -0.058 eV/atom
energy above the most stable polymorph in this dataset: 153 meV per atom
D(E_F): 1.7 states/eV/f.u.
VASP energy: -2.048 eV/atom

Unit cell a=7.660 b=7.660 c=7.660 alpha=90.00 beta=90.00 gamma=90.00
Space group F-43m (No. 216)
Symmetry-distinct sites (fractional):
Ba: 0.000 0.000 0.000 [4 per cell]
Li: 0.000 0.000 0.500 [4 per cell]
Zn: 0.250 0.250 0.250 [4 per cell]
Ag: 0.250 0.250 0.750 [4 per cell]

[3]
# MoP2Ru

Crystalline MoP2Ru at its relaxed geometry (PBE, the Alexandria database).

Properties
calculated density: 7.78 Mg/m³
DFT formation energy: -0.159 eV/atom
D(E_F): 4.8 states/eV/f.u.
VASP energy: -7.891 eV/atom

Unit cell a=2.9460 b=2.9460 c=22.0659 alpha=90.00 beta=90.00 gamma=120.00
Space group R-3m (No. 166, hexagonal axes)
Symmetry-distinct sites (fractional):
Mo: 0.0000 0.0000 0.0000 [3 per cell]
P: 0.0000 0.0000 0.2479 [6 per cell]
Ru: 0.0000 0.0000 0.5000 [3 per cell]

[4]
# La3ZnN

Crystalline La3ZnN at its relaxed geometry (PBE, the Alexandria database).

Properties
formation energy without anion corrections: 71 meV/atom
calculated density: 4.14 Mg/m³
energy above the most stable polymorph in this dataset: 767 meV per atom
D(E_F): 6.1 states/eV/f.u.
VASP energy: -4.805 eV/atom

Unit cell a=7.442 b=16.578 c=6.447 alpha=90.00 beta=90.00 gamma=90.00
Space group Cmcm (No. 63)
Symmetry-distinct sites (fractional):
La: 0.000 0.000 0.000 [4 per cell]
La: 0.249 0.320 0.250 [8 per cell]
Zn: 0.000 0.161 0.250 [4 per cell]
N: 0.000 0.375 0.250 [4 per cell]

[5]
# LiTa2Ag

Crystalline LiTa2Ag at its relaxed geometry (PBE, the Alexandria database).

Properties
calculated density: 11.65 Mg/m³
DFT formation energy: 0.411 eV/atom
energy above the most stable polymorph in this dataset: 264 meV per atom
D(E_F): 4.9 states/eV/f.u.
VASP energy: -6.706 eV/atom

Unit cell a=3.826 b=3.826 c=9.285 alpha=90.00 beta=90.00 gamma=90.00
Space group I4/mmm (No. 139)
Symmetry-distinct sites (fractional):
Li: 0.000 0.000 0.000 [2 per cell]
Ta: 0.000 0.500 0.250 [4 per cell]
Ag: 0.000 0.000 0.500 [2 per cell]

[6]
# Sm8RuAu2

Crystalline Sm8RuAu2 at its relaxed geometry (PBE, the Alexandria database).

Properties
calculated density: 8.79 Mg/m³
DFT formation energy: -0.290 eV/atom
energy above the most stable polymorph in this dataset: 63 meV per atom
D(E_F): 12.2 states/eV/f.u.
VASP energy: -5.161 eV/atom

Unit cell a=7.754 b=16.177 c=6.227 alpha=90.00 beta=124.76 gamma=90.00
Space group Cm (No. 8)
Symmetry-distinct sites (fractional):
Sm: 0.000 0.000 0.000 [2 per cell]
Sm: 0.005 0.386 0.769 [4 per cell]
Sm: 0.041 0.500 0.319 [2 per cell]
Sm: 0.278 0.195 0.111 [4 per cell]
Sm: 0.463 0.379 0.445 [4 per cell]
Ru: 0.233 0.000 0.808 [2 per cell]
Au: 0.255 0.279 0.640 [4 per cell]

[7]
# SrCaSc4

Crystalline SrCaSc4 at its relaxed geometry (PBE, the Alexandria database).

Properties
calculated density: 2.64 Mg/m³
DFT formation energy: 0.268 eV/atom
D(E_F): 11.8 states/eV/f.u.
VASP energy: -4.567 eV/atom

Unit cell a=9.177 b=9.177 c=9.177 alpha=90.00 beta=90.00 gamma=90.00
Space group F-43m (No. 216)
Symmetry-distinct sites (fractional):
Sr: 0.000 0.000 0.000 [4 per cell]
Ca: 0.250 0.250 0.750 [4 per cell]
Sc: 0.124 0.124 0.376 [16 per cell]

[8]
# Na12TlHg2

Crystalline Na12TlHg2 at its relaxed geometry (PBE, the Alexandria database).

Properties
calculated density: 2.62 Mg/m³
DFT formation energy: 0.032 eV/atom
D(E_F): 6.4 states/eV/f.u.
VASP energy: -1.221 eV/atom

Unit cell a=6.659 b=6.659 c=25.162 alpha=90.00 beta=90.00 gamma=90.00
Space group P4/nbm (No. 125, origin choice 2)
Symmetry-distinct sites (fractional):
Na: 0.000 0.000 0.089 [8 per cell]
Na: 0.069 0.569 0.435 [8 per cell]
Na: 0.250 0.250 0.196 [4 per cell]
Na: 0.250 0.250 0.326 [4 per cell]
Tl: 0.250 0.750 0.000 [2 per cell]
Hg: 0.250 0.750 0.187 [4 per cell]

[9]
# Tb5Er2Mg5

Crystalline Tb5Er2Mg5 at its relaxed geometry (PBE, the Alexandria database).

Properties
calculated density: 6.12 Mg/m³
DFT formation energy: -0.035 eV/atom
energy above the most stable polymorph in this dataset: 0 meV per atom
D(E_F): 12.9 states/eV/f.u.
VASP energy: -3.389 eV/atom

Unit cell a=17.051 b=3.612 c=12.143 alpha=90.00 beta=114.84 gamma=90.00
Space group C2/m (No. 12)
Symmetry-distinct sites (fractional):
Tb: 0.000 0.000 0.000 [2 per cell]
Tb: 0.054 0.000 0.743 [4 per cell]
Tb: 0.166 0.000 0.520 [4 per cell]
Er: 0.122 0.500 0.258 [4 per cell]
Mg: 0.000 0.500 0.500 [2 per cell]
Mg: 0.171 0.500 0.000 [4 per cell]
Mg: 0.227 0.500 0.777 [4 per cell]

[10]
# LaDyPdAu

Crystalline LaDyPdAu at its relaxed geometry (PBE, the Alexandria database).

Properties
calculated density: 9.99 Mg/m³
DFT formation energy: -0.849 eV/atom
energy above the most stable polymorph in this dataset: 0 meV per atom
D(E_F): 2.5 states/eV/f.u.
VASP energy: -5.349 eV/atom

Unit cell a=4.827 b=3.872 c=10.759 alpha=90.00 beta=90.00 gamma=90.00
Space group Amm2 (No. 38)
Symmetry-distinct sites (fractional):
La: 0.000 0.000 0.000 [2 per cell]
Dy: 0.500 0.000 0.275 [2 per cell]
Pd: 0.000 0.000 0.728 [2 per cell]
Au: 0.500 0.000 0.557 [2 per cell]

[11]
# AcCdAg

Crystalline AcCdAg at its relaxed geometry (PBE, the Alexandria database).

Properties
calculated density: 8.80 Mg/m³
DFT formation energy: -0.225 eV/atom
energy above the most stable polymorph in this dataset: 95 meV per atom
D(E_F): 2.0 states/eV/f.u.
VASP energy: -2.849 eV/atom

Unit cell a=4.738 b=11.685 c=6.101 alpha=90.00 beta=90.00 gamma=90.00
Space group Cmcm (No. 63)
Symmetry-distinct sites (fractional):
Ac: 0.000 0.210 0.250 [4 per cell]
Cd: 0.000 0.080 0.750 [4 per cell]
Ag: 0.000 0.500 0.000 [4 per cell]

[12]
# AsSe2O

Crystalline AsSe2O at its relaxed geometry (PBE, the Alexandria database).

Properties
formation energy without anion corrections: 599 meV/atom
calculated density: 6.40 Mg/m³
energy above the most stable polymorph in this dataset: 484 meV per atom
D(E_F): 4.0 states/eV/f.u.
VASP energy: -3.546 eV/atom

Unit cell a=6.369 b=6.369 c=6.369 alpha=90.00 beta=90.00 gamma=90.00
Space group Fm-3m (No. 225)
Symmetry-distinct sites (fractional):
As: 0.000 0.000 0.000 [4 per cell]
Se: 0.250 0.250 0.250 [8 per cell]
O: 0.000 0.000 0.500 [4 per cell]